Entry 1:
# ErMg2Au | the Alexandria database | PBE-GGA | optimized geometry
data_ErMg2Au
_chemical_formula_sum 'Er1 Mg2 Au1'
_cell_length_a 4.261
_cell_length_b 4.261
_cell_length_c 4.885
_cell_angle_alpha 90.00
_cell_angle_beta 90.00
_cell_angle_gamma 90.00
_space_group_name_H-M_alt 'P 4/m m m'
_space_group_IT_number 123
_space_group_name_Hall '-P 4 2'
loop_
_atom_site_label
_atom_site_type_symbol
_atom_site_fract_x
_atom_site_fract_y
_atom_site_fract_z
Er1 Er 0.000 0.000 0.000
Mg1 Mg 0.000 0.500 0.500
Au1 Au 0.500 0.500 0.000
# ΔH_f (0 K): -0.38 eV/atom

=====

Entry 2:
# ErMg2Au | the Alexandria database | PBE-GGA | optimized geometry
data_ErMg2Au
_chemical_formula_sum 'Er4 Mg8 Au4'
_cell_length_a 6.993
_cell_length_b 6.993
_cell_length_c 6.993
_cell_angle_alpha 90.00
_cell_angle_beta 90.00
_cell_angle_gamma 90.00
_space_group_name_H-M_alt 'F -4 3 m'
_space_group_IT_number 216
_space_group_name_Hall 'F -4 2 3'
loop_
_atom_site_label
_atom_site_type_symbol
_atom_site_fract_x
_atom_site_fract_y
_atom_site_fract_z
Er1 Er 0.000 0.000 0.000
Mg1 Mg 0.000 0.000 0.500
Mg2 Mg 0.250 0.250 0.250
Au1 Au 0.250 0.250 0.750
# ΔH_f (0 K): -0.43 eV/atom

=====

Entry 3:
# ErMg11Au | the Alexandria database | PBE-GGA | optimized geometry
data_ErMg11Au
_chemical_formula_sum 'Er2 Mg22 Au2'
_cell_length_a 5.719
_cell_length_b 14.338
_cell_length_c 7.647
_cell_angle_alpha 90.00
_cell_angle_beta 110.61
_cell_angle_gamma 90.00
_space_group_name_H-M_alt 'C 1 2/m 1'
_space_group_IT_number 12
loop_
_space_group_symop_operation_xyz
'x,y,z'
'-x,-y,-z'
'-x,y,-z'
'x,-y,z'
'x+1/2,y+1/2,z'
'-x+1/2,-y+1/2,-z'
'-x+1/2,y+1/2,-z'
'x+1/2,-y+1/2,z'
loop_
_atom_site_label
_atom_site_type_symbol
_atom_site_fract_x
_atom_site_fract_y
_atom_site_fract_z
Er1 Er 0.000 0.000 0.000
Mg1 Mg 0.000 0.000 0.500
Mg2 Mg 0.099 0.397 0.214
Mg3 Mg 0.184 0.171 0.357
Mg4 Mg 0.250 0.250 0.000
Au1 Au 0.000 0.500 0.500
# ΔH_f (0 K): -0.12 eV/atom

=====

Entry 4:
# Er2MgAu | the Alexandria database | PBE-GGA | optimized geometry
data_Er2MgAu
_chemical_formula_sum 'Er2 Mg1 Au1'
_cell_length_a 3.674
_cell_length_b 3.674
_cell_length_c 7.213
_cell_angle_alpha 90.00
_cell_angle_beta 90.00
_cell_angle_gamma 90.00
_space_group_name_H-M_alt 'P 4/m m m'
_space_group_IT_number 123
_space_group_name_Hall '-P 4 2'
loop_
_atom_site_label
_atom_site_type_symbol
_atom_site_fract_x
_atom_site_fract_y
_atom_site_fract_z
Er1 Er 0.000 0.000 0.234
Mg1 Mg 0.500 0.500 0.500
Au1 Au 0.500 0.500 0.000
# Energy above the lowest structure with this stoichiometry: 0.0000 eV/atom
# ΔH_f (0 K): -0.47 eV/atom

=====

Entry 5:
# ErMg2Au | the Alexandria database | PBE-GGA | optimized geometry
data_ErMg2Au
_chemical_formula_sum 'Er1 Mg2 Au1'
_cell_length_a 3.404
_cell_length_b 3.404
_cell_length_c 7.732
_cell_angle_alpha 90.00
_cell_angle_beta 90.00
_cell_angle_gamma 90.00
_space_group_name_H-M_alt 'P 4/m m m'
_space_group_IT_number 123
_space_group_name_Hall '-P 4 2'
loop_
_atom_site_label
_atom_site_type_symbol
_atom_site_fract_x
_atom_site_fract_y
_atom_site_fract_z
Er1 Er 0.000 0.000 0.000
Mg1 Mg 0.500 0.500 0.300
Au1 Au 0.000 0.000 0.500
# ΔH_f (0 K): -0.32 eV/atom

=====

Entry 6:
# ErMgAu2 | the Alexandria database | PBE-GGA | optimized geometry
data_ErMgAu2
_chemical_formula_sum 'Er1 Mg1 Au2'
_cell_length_a 3.462
_cell_length_b 3.462
_cell_length_c 6.860
_cell_angle_alpha 90.00
_cell_angle_beta 90.00
_cell_angle_gamma 90.00
_space_group_name_H-M_alt 'P 4/m m m'
_space_group_IT_number 123
_space_group_name_Hall '-P 4 2'
loop_
_atom_site_label
_atom_site_type_symbol
_atom_site_fract_x
_atom_site_fract_y
_atom_site_fract_z
Er1 Er 0.000 0.000 0.000
Mg1 Mg 0.000 0.000 0.500
Au1 Au 0.500 0.500 0.262
# ΔH_f (0 K): -0.75 eV/atom

=====

Entry 7:
# ErMg2Au | the Alexandria database | PBE-GGA | optimized geometry
data_ErMg2Au
_chemical_formula_sum 'Er3 Mg6 Au3'
_cell_length_a 3.3021
_cell_length_b 3.3021
_cell_length_c 31.3577
_cell_angle_alpha 90.00
_cell_angle_beta 90.00
_cell_angle_gamma 120.00
_space_group_name_H-M_alt 'R -3 m'
_space_group_IT_number 166
_space_group_name_Hall '-R 3 2"'
loop_
_atom_site_label
_atom_site_type_symbol
_atom_site_fract_x
_atom_site_fract_y
_atom_site_fract_z
Er1 Er 0.0000 0.0000 0.0000
Mg1 Mg 0.0000 0.0000 0.1023
Au1 Au 0.0000 0.0000 0.5000
# ΔH_f (0 K): -0.01 eV/atom

=====

Entry 8:
# ErMg3Au3 | the Alexandria database | PBE-GGA | optimized geometry
data_ErMg3Au3
_chemical_formula_sum 'Er2 Mg6 Au6'
_cell_length_a 7.208
_cell_length_b 7.208
_cell_length_c 7.208
_cell_angle_alpha 90.00
_cell_angle_beta 90.00
_cell_angle_gamma 90.00
_space_group_name_H-M_alt 'P m -3 n'
_space_group_IT_number 223
_space_group_name_Hall '-P 4n 2 3'
loop_
_atom_site_label
_atom_site_type_symbol
_atom_site_fract_x
_atom_site_fract_y
_atom_site_fract_z
Er1 Er 0.000 0.000 0.000
Mg1 Mg 0.000 0.250 0.500
Au1 Au 0.000 0.500 0.250
# ΔH_f (0 K): -0.02 eV/atom

=====

Number 1: spin magnetization 0.00 μB per formula unit. Number 2: spin magnetization 0.00 μB per formula unit. Number 3: spin magnetization 0.00 μB per formula unit. Number 4: spin magnetization 0.00 μB per formula unit. Number 5: spin magnetization 0.00 μB per formula unit. Number 6: spin magnetization 0.00 μB per formula unit. Number 7: spin magnetization 0.00 μB per formula unit. Number 8: spin magnetization 0.00 μB per formula unit.